[1]
# TbZnNi | OQMD via LeMat-Bulk | PBE | optimized geometry
data_TbZnNi
_chemical_formula_sum 'Tb4 Zn4 Ni4'
_space_group_name_H-M_alt 'P n m a'
_space_group_IT_number 62
_cell_length_a 6.932
_cell_length_b 4.398
_cell_length_c 7.075
_cell_angle_alpha 90.00
_cell_angle_beta 90.00
_cell_angle_gamma 90.00
loop_
_space_group_symop_operation_xyz
'x,y,z'
'-x,-y,-z'
'-x+1/2,-y,z+1/2'
'x+1/2,y,-z+1/2'
'x+1/2,-y+1/2,-z+1/2'
'-x+1/2,y+1/2,z+1/2'
'-x,y+1/2,-z'
'x,-y+1/2,z'
loop_
_atom_site_label
_atom_site_fract_x
_atom_site_fract_y
_atom_site_fract_z
Tb1 0.015 0.250 0.201
Zn1 0.191 0.250 0.594
Ni1 0.183 0.750 0.426
# ΔE_f, eV/atom: -0.43
# Magnetic moment, μB per cell: 0.00
# Offset from the most stable computed form, meV per atom: 25
# Electronic total energy, eV/f.u.: -12.754

=====

[2]
# TbZnNi | OQMD via LeMat-Bulk | PBE | optimized geometry
data_TbZnNi
_chemical_formula_sum 'Tb2 Zn2 Ni2'
_space_group_name_H-M_alt 'P 63/m m c'
_space_group_IT_number 194
_space_group_name_Hall '-P 6c 2c'
_cell_length_a 4.7208
_cell_length_b 4.7208
_cell_length_c 5.7380
_cell_angle_alpha 90.00
_cell_angle_beta 90.00
_cell_angle_gamma 120.00
loop_
_atom_site_label
_atom_site_fract_x
_atom_site_fract_y
_atom_site_fract_z
Tb1 0.3333 0.6667 0.2500
Zn1 0.3333 0.6667 0.7500
Ni1 0.0000 0.0000 0.0000
# ΔE_f, eV/atom: -0.11
# Magnetic moment, μB per cell: 0.00
# Offset from the most stable computed form, meV per atom: 348
# Electronic total energy, eV/f.u.: -11.785

=====

[3]
# TbZnNi | OQMD via LeMat-Bulk | PBE | optimized geometry
data_TbZnNi
_chemical_formula_sum 'Tb2 Zn2 Ni2'
_space_group_name_H-M_alt 'P 63/m m c'
_space_group_IT_number 194
_space_group_name_Hall '-P 6c 2c'
_cell_length_a 4.2521
_cell_length_b 4.2521
_cell_length_c 7.1811
_cell_angle_alpha 90.00
_cell_angle_beta 90.00
_cell_angle_gamma 120.00
loop_
_atom_site_label
_atom_site_fract_x
_atom_site_fract_y
_atom_site_fract_z
Tb1 0.0000 0.0000 0.0000
Zn1 0.3333 0.6667 0.2500
Ni1 0.3333 0.6667 0.7500
# ΔE_f, eV/atom: -0.41
# Magnetic moment, μB per cell: 0.00
# Offset from the most stable computed form, meV per atom: 42
# Electronic total energy, eV/f.u.: -12.704

=====

[4]
# TbZnNi | OQMD via LeMat-Bulk | PBE | optimized geometry
data_TbZnNi
_chemical_formula_sum 'Tb3 Zn3 Ni3'
_space_group_name_H-M_alt 'P -6 2 m'
_space_group_IT_number 189
_space_group_name_Hall 'P -6 -2'
_cell_length_a 7.7889
_cell_length_b 7.7889
_cell_length_c 3.1339
_cell_angle_alpha 90.00
_cell_angle_beta 90.00
_cell_angle_gamma 120.00
loop_
_atom_site_label
_atom_site_fract_x
_atom_site_fract_y
_atom_site_fract_z
Tb1 0.0000 0.2964 0.0000
Zn1 0.0000 0.0000 0.5000
Zn2 0.3333 0.6667 0.0000
Ni1 0.0000 0.6296 0.5000
# ΔE_f, eV/atom: -0.02
# Magnetic moment, μB per cell: 0.00
# Offset from the most stable computed form, meV per atom: 436
# Electronic total energy, eV/f.u.: -11.522

=====

[5]
# TbZnNi | OQMD via LeMat-Bulk | PBE | optimized geometry
data_TbZnNi
_chemical_formula_sum 'Tb3 Zn3 Ni3'
_space_group_name_H-M_alt 'P -6 2 m'
_space_group_IT_number 189
_space_group_name_Hall 'P -6 -2'
_cell_length_a 6.9411
_cell_length_b 6.9411
_cell_length_c 3.8241
_cell_angle_alpha 90.00
_cell_angle_beta 90.00
_cell_angle_gamma 120.00
loop_
_atom_site_label
_atom_site_fract_x
_atom_site_fract_y
_atom_site_fract_z
Tb1 0.0000 0.5883 0.0000
Zn1 0.0000 0.2407 0.5000
Ni1 0.0000 0.0000 0.0000
Ni2 0.3333 0.6667 0.5000
# ΔE_f, eV/atom: -0.46
# Magnetic moment, μB per cell: 0.01
# Offset from the most stable computed form, meV per atom: 0
# Electronic total energy, eV/f.u.: -12.830

=====

[6]
# TcNi3 | OQMD via LeMat-Bulk | PBE | optimized geometry
data_TcNi3
_chemical_formula_sum 'Tc8 Ni24'
_space_group_name_H-M_alt 'F m m m'
_space_group_IT_number 69
_space_group_name_Hall '-F 2 2'
_cell_length_a 7.213
_cell_length_b 7.227
_cell_length_c 7.246
_cell_angle_alpha 90.00
_cell_angle_beta 90.00
_cell_angle_gamma 90.00
loop_
_atom_site_label
_atom_site_fract_x
_atom_site_fract_y
_atom_site_fract_z
Tc1 0.250 0.250 0.250
Ni1 0.000 0.000 0.250
Ni2 0.000 0.249 0.000
Ni3 0.249 0.000 0.500
# ΔE_f, eV/atom: 0.13
# Magnetic moment, μB per cell: 22.93
# Electronic total energy, eV/f.u.: -26.547

=====

[7]
# TcNi | OQMD via LeMat-Bulk | PBE | optimized geometry
data_TcNi
_chemical_formula_sum 'Tc2 Ni2'
_space_group_name_H-M_alt 'P 63 m c'
_space_group_IT_number 186
_space_group_name_Hall 'P 6c -2c'
_cell_length_a 4.0160
_cell_length_b 4.0160
_cell_length_c 4.7895
_cell_angle_alpha 90.00
_cell_angle_beta 90.00
_cell_angle_gamma 120.00
loop_
_atom_site_label
_atom_site_fract_x
_atom_site_fract_y
_atom_site_fract_z
Tc1 0.3333 0.6667 0.0000
Ni1 0.3333 0.6667 0.5079
# ΔE_f, eV/atom: 1.21
# Magnetic moment, μB per cell: 0.01
# Offset from the most stable computed form, meV per atom: 1242
# Electronic total energy, eV/f.u.: -13.511

=====

[8]
# Tc3Ni | OQMD via LeMat-Bulk | PBE | optimized geometry
data_Tc3Ni
_chemical_formula_sum 'Tc27 Ni9'
_space_group_name_H-M_alt 'R -3 m'
_space_group_IT_number 166
_space_group_name_Hall '-R 3 2"'
_cell_length_a 5.3612
_cell_length_b 5.3612
_cell_length_c 19.5383
_cell_angle_alpha 90.00
_cell_angle_beta 90.00
_cell_angle_gamma 120.00
loop_
_atom_site_label
_atom_site_fract_x
_atom_site_fract_y
_atom_site_fract_z
Tc1 0.0000 0.5000 0.0000
Tc2 0.0027 0.5014 0.7791
Ni1 0.0000 0.0000 0.0000
Ni2 0.0000 0.0000 0.2232
# ΔE_f, eV/atom: -0.07
# Magnetic moment, μB per cell: 0.01
# Offset from the most stable computed form, meV per atom: 33
# Electronic total energy, eV/f.u.: -36.930